(1)
DFT (PBE) results for an optimized crystal structure of TbEr5Ga4.

Structure (POSCAR):
```
TbEr5Ga4
1.0
8.534 -1.825 0.000
8.534 1.825 0.000
-0.873 0.000 8.624
Tb Er Ga
1 5 4
Cartesian
0.000 0.000 0.000 Tb
-0.437 0.000 4.312 Er
4.751 0.000 5.630 Er
5.781 0.000 1.917 Er
10.413 0.000 6.707 Er
11.443 0.000 2.995 Er
3.132 0.000 0.498 Ga
7.492 0.000 6.395 Ga
8.701 0.000 2.229 Ga
13.062 0.000 8.126 Ga
```

## Properties
Total DFT energy (no corrections) in eV/cell: -42.414
Energy of formation from the pure elements in eV/atom: -0.29
SG: No. 12



(2)
DFT (PBE) results for an optimized crystal structure of PaCoS.

Structure (POSCAR):
```
PaCoS
1.0
5.088 -1.975 0.000
5.088 1.975 0.000
-1.787 0.000 5.067
Pa Co S
2 2 2
Cartesian
0.643 0.000 1.393 Pa
7.745 0.000 3.675 Pa
0.596 0.000 3.799 Co
7.792 0.000 1.268 Co
3.673 0.000 0.860 S
4.715 0.000 4.208 S
```

## Properties
Total DFT energy (no corrections) in eV/cell: -46.342
SG: No. 12
Formation energy (no corrections) in eV per atom: -0.81



(3)
DFT (PBE) results for an optimized crystal structure of Mg17Al11Pt.

Structure (POSCAR):
```
Mg17Al11Pt
1.0
5.227 -7.432 0.000
5.227 7.432 0.000
-5.110 0.000 7.348
Mg Al Pt
17 11 1
Cartesian
0.000 0.000 0.000 Mg
1.631 4.918 2.637 Mg
-1.797 0.000 2.605 Mg
1.931 2.987 0.268 Mg
-0.223 2.344 6.996 Mg
3.008 0.000 0.463 Mg
2.006 2.943 4.908 Mg
0.104 0.000 5.117 Mg
1.931 -2.987 0.268 Mg
3.906 2.089 2.590 Mg
-0.223 -2.344 6.996 Mg
3.162 0.000 4.662 Mg
1.631 -4.918 2.637 Mg
3.906 -2.089 2.590 Mg
5.015 2.310 5.463 Mg
2.006 -2.943 4.908 Mg
5.015 -2.310 5.463 Mg
-0.806 2.730 3.956 Al
2.510 6.079 5.256 Al
4.376 4.719 1.209 Al
1.109 1.334 2.559 Al
1.109 -1.334 2.559 Al
-0.806 -2.730 3.956 Al
2.552 1.369 7.257 Al
5.738 0.000 1.383 Al
4.376 -4.719 1.209 Al
2.552 -1.369 7.257 Al
2.510 -6.079 5.256 Al
5.883 0.000 3.947 Pt
```

## Properties
Total DFT energy (no corrections) in eV/cell: -77.475
Energy of formation from the pure elements in eV/atom: -0.11
SG: No. 8



(4)
DFT (PBE) results for an optimized crystal structure of LaNd6Tm3.

Structure (POSCAR):
```
LaNd6Tm3
1.0
5.512 -9.635 0.000
5.512 9.635 0.000
0.000 0.000 6.359
La Nd Tm
2 12 6
Cartesian
5.512 6.007 3.179 La
5.512 -6.007 0.000 La
5.512 8.947 4.605 Nd
2.929 4.037 1.427 Nd
5.512 4.182 6.009 Nd
3.665 0.774 0.278 Nd
3.665 -0.774 3.458 Nd
2.929 -4.037 4.606 Nd
8.094 4.037 1.427 Nd
7.358 0.774 0.278 Nd
7.358 -0.774 3.458 Nd
5.512 -4.182 2.830 Nd
8.094 -4.037 4.606 Nd
5.512 -8.947 1.426 Nd
1.924 2.219 3.998 Tm
1.924 -2.219 0.819 Tm
5.512 2.245 3.182 Tm
5.512 -2.245 0.003 Tm
9.100 2.219 3.998 Tm
9.100 -2.219 0.819 Tm
```

## Properties
Total DFT energy (no corrections) in eV/cell: -91.042
Energy of formation from the pure elements in eV/atom: 0.14
SG: No. 36



(5)
DFT (PBE) results for an optimized crystal structure of Ag6OsF12.

Structure (POSCAR):
```
Ag6OsF12
1.0
5.196 3.000 3.392
-5.196 3.000 3.392
0.000 -5.999 3.392
Ag Os F
6 1 12
Cartesian
-2.840 -2.726 5.356 Ag
-3.781 1.097 4.821 Ag
0.941 -3.823 4.821 Ag
-0.941 3.823 5.356 Ag
3.781 -1.097 5.356 Ag
2.840 2.726 4.821 Ag
0.000 0.000 5.088 Os
-1.257 -4.074 4.486 F
-4.157 -0.948 5.690 F
-1.531 -0.437 4.004 F
-2.899 3.126 4.486 F
1.144 -1.108 4.004 F
-0.387 -1.545 6.172 F
0.387 1.545 4.004 F
-1.144 1.108 6.172 F
2.899 -3.126 5.690 F
1.531 0.437 6.172 F
4.157 0.948 4.486 F
1.257 4.074 5.690 F
```

## Properties
Total DFT energy (no corrections) in eV/cell: -75.171
SG: No. 148
Formation energy (no corrections) in eV per atom: -1.28



(6)
DFT (PBE) results for an optimized crystal structure of BeFeCu2.

Structure (POSCAR):
```
BeFeCu2
1.0
2.536 0.000 0.000
0.000 2.536 0.000
0.000 0.000 6.669
Be Fe Cu
1 1 2
Cartesian
0.000 0.000 0.000 Be
1.268 1.268 5.186 Fe
0.000 0.000 3.338 Cu
1.268 1.268 1.474 Cu
```

## Properties
Total DFT energy (no corrections) in eV/cell: -20.508
Energy of formation from the pure elements in eV/atom: -0.03
SG: No. 99



(7)
DFT (PBE) results for an optimized crystal structure of Pu6Te3Se2S.

Structure (POSCAR):
```
Pu6Te3Se2S
1.0
3.691 -6.396 0.000
3.691 6.396 0.000
-2.465 0.000 6.990
Pu Te Se S
6 3 2 1
Cartesian
1.191 2.071 1.547 Pu
-0.078 0.000 5.413 Pu
1.191 -2.071 1.547 Pu
3.725 2.071 5.442 Pu
4.995 0.000 1.577 Pu
3.725 -2.071 5.442 Pu
2.458 4.212 3.495 Te
2.458 0.000 3.495 Te
2.458 -4.212 3.495 Te
3.691 2.118 0.000 Se
3.691 -2.118 0.000 Se
0.000 0.000 0.000 S
```

## Properties
Total DFT energy (no corrections) in eV/cell: -122.455
SG: No. 12
Formation energy (no corrections) in eV per atom: -1.33



(8)
DFT (PBE) results for an optimized crystal structure of NiPd3Pt4.

Structure (POSCAR):
```
NiPd3Pt4
1.0
4.390 -1.958 0.000
4.390 1.958 0.000
-3.502 0.000 7.009
Ni Pd Pt
1 3 4
Cartesian
0.000 0.000 0.000 Ni
-1.751 0.000 3.505 Pd
1.724 0.000 5.300 Pd
3.554 0.000 1.709 Pd
0.888 0.000 2.590 Pt
-0.880 0.000 6.162 Pt
6.159 0.000 0.847 Pt
4.391 0.000 4.419 Pt
```

## Properties
Total DFT energy (no corrections) in eV/cell: -45.819
Energy of formation from the pure elements in eV/atom: -0.04
SG: No. 12



(9)
DFT (PBE) results for an optimized crystal structure of K2CoH5.

Structure (POSCAR):
```
K2CoH5
1.0
-2.880 2.880 3.669
2.880 -2.880 3.669
2.880 2.880 -3.669
K Co H
2 1 5
Cartesian
2.880 0.000 0.000 K
0.000 2.880 0.000 K
0.000 0.000 1.809 Co
0.000 0.000 0.361 H
1.775 1.775 -1.849 H
1.105 -1.105 1.820 H
-1.105 1.105 1.820 H
1.105 1.105 1.820 H
```

## Properties
Total DFT energy (no corrections) in eV/cell: -26.762
SG: No. 107



(10)
DFT (PBE) results for an optimized crystal structure of PaTeH.

Structure (POSCAR):
```
PaTeH
1.0
3.525 0.000 0.000
0.000 3.470 0.000
-1.761 0.000 4.716
Pa Te H
1 1 1
Cartesian
0.000 0.000 0.000 Pa
0.002 1.735 2.717 Te
1.767 1.735 0.542 H
```

## Properties
Total DFT energy (no corrections) in eV/cell: -16.871
SG: No. 6



(11)
DFT (PBE) results for an optimized crystal structure of AlAs2Rh.

Structure (POSCAR):
```
AlAs2Rh
1.0
2.913 0.000 0.000
0.000 3.476 0.000
0.000 0.000 6.997
Al As Rh
1 2 1
Cartesian
0.000 0.000 0.000 Al
0.000 0.000 4.198 As
1.457 1.738 1.413 As
1.457 1.738 5.613 Rh
```

## Properties
Total DFT energy (no corrections) in eV/cell: -21.356
Energy of formation from the pure elements in eV/atom: -0.24
SG: No. 25



(12)
DFT (PBE) results for an optimized crystal structure of TaCd2Br.

Structure (POSCAR):
```
TaCd2Br
1.0
3.184 0.000 0.000
0.000 3.184 0.000
0.000 0.000 8.658
Ta Cd Br
1 2 1
Cartesian
0.000 0.000 0.000 Ta
1.592 1.592 2.041 Cd
1.592 1.592 6.617 Cd
0.000 0.000 4.329 Br
```

## Properties
Total DFT energy (no corrections) in eV/cell: -14.334
SG: No. 123
Formation energy (no corrections) in eV per atom: 0.26



(13)
DFT (PBE) results for an optimized crystal structure of AcTa4Se8.

Structure (POSCAR):
```
AcTa4Se8
1.0
3.531 2.039 7.692
-3.531 2.039 7.692
0.000 -4.077 7.692
Ac Ta Se
1 4 8
Cartesian
0.000 0.000 0.000 Ac
-3.531 0.000 11.538 Ta
-1.765 1.019 3.846 Ta
1.765 1.019 3.846 Ta
0.000 0.000 11.538 Ta
0.000 0.000 5.506 Se
-1.714 -0.990 13.204 Se
0.000 -1.980 9.871 Se
-1.714 0.990 9.871 Se
1.714 -0.990 13.204 Se
0.000 1.980 13.204 Se
1.714 0.990 9.871 Se
0.000 0.000 17.569 Se
```

## Properties
Total DFT energy (no corrections) in eV/cell: -90.958
SG: No. 166
Formation energy (no corrections) in eV per atom: -0.89



(14)
DFT (PBE) results for an optimized crystal structure of Rb3OsBr.

Structure (POSCAR):
```
Rb3OsBr
1.0
6.342 0.000 0.000
0.000 6.342 0.000
0.000 0.000 6.342
Rb Os Br
3 1 1
Cartesian
0.000 0.000 3.171 Rb
0.000 3.171 0.000 Rb
3.171 0.000 0.000 Rb
0.000 0.000 0.000 Os
3.171 3.171 3.171 Br
```

## Properties
Total DFT energy (no corrections) in eV/cell: -13.268
SG: No. 221
Formation energy (no corrections) in eV per atom: 0.51



(15)
DFT (PBE) results for an optimized crystal structure of Cd5In2Hg4.

Structure (POSCAR):
```
Cd5In2Hg4
1.0
-1.643 4.028 11.428
1.643 -4.028 11.428
1.643 4.028 -11.428
Cd In Hg
5 2 4
Cartesian
0.000 0.000 0.000 Cd
1.643 1.439 -2.802 Cd
1.643 1.439 2.802 Cd
0.000 2.589 8.626 Cd
0.000 2.589 14.229 Cd
1.643 0.000 8.448 In
0.000 4.028 2.979 In
1.643 0.000 5.509 Hg
1.643 2.597 0.000 Hg
0.000 1.431 11.428 Hg
0.000 4.028 5.919 Hg
```

## Properties
Total DFT energy (no corrections) in eV/cell: -10.570
Energy of formation from the pure elements in eV/atom: 0.06
SG: No. 71



(16)
DFT (PBE) results for an optimized crystal structure of Al2CuSi.

Structure (POSCAR):
```
Al2CuSi
1.0
5.436 0.000 0.000
0.000 4.492 0.000
0.000 0.000 4.949
Al Cu Si
4 2 2
Cartesian
0.000 0.000 0.000 Al
1.359 2.246 1.392 Al
2.718 0.000 0.000 Al
4.077 2.246 3.557 Al
1.359 2.246 3.906 Cu
4.077 2.246 1.043 Cu
1.359 0.000 2.614 Si
4.077 0.000 2.335 Si
```

## Properties
Total DFT energy (no corrections) in eV/cell: -33.219
SG: No. 51
Formation energy (no corrections) in eV per atom: 0.10



(17)
DFT (PBE) results for an optimized crystal structure of Mg2SbPtBr.

Structure (POSCAR):
```
Mg2SbPtBr
1.0
5.086 0.000 0.000
0.000 5.086 0.000
0.000 0.000 4.869
Mg Sb Pt Br
2 1 1 1
Cartesian
0.000 2.543 0.000 Mg
2.543 0.000 0.000 Mg
0.000 0.000 2.435 Sb
2.543 2.543 2.435 Pt
2.543 2.543 0.000 Br
```

## Properties
Total DFT energy (no corrections) in eV/cell: -13.440
SG: No. 123
Formation energy (no corrections) in eV per atom: 0.32



(18)
DFT (PBE) results for an optimized crystal structure of BPRhC.

Structure (POSCAR):
```
BPRhC
1.0
3.681 -1.554 0.000
3.681 1.554 0.000
-2.980 0.000 4.102
B P Rh C
1 1 1 1
Cartesian
0.000 0.000 0.000 B
3.675 0.000 1.092 P
2.352 0.000 3.010 Rh
4.689 0.000 2.575 C
```

## Properties
Total DFT energy (no corrections) in eV/cell: -27.746
Energy of formation from the pure elements in eV/atom: 0.23
SG: No. 8



(19)
DFT (PBE) results for an optimized crystal structure of CrAs2Au.

Structure (POSCAR):
```
CrAs2Au
1.0
0.000 3.293 3.293
3.293 0.000 3.293
3.293 3.293 0.000
Cr As Au
1 2 1
Cartesian
0.000 0.000 0.000 Cr
1.647 1.647 1.647 As
4.940 4.940 4.940 As
3.293 3.293 3.293 Au
```

## Properties
Total DFT energy (no corrections) in eV/cell: -20.978
Energy of formation from the pure elements in eV/atom: 0.31
SG: No. 225



(20)
DFT (PBE) results for an optimized crystal structure of KTa2Se4.

Structure (POSCAR):
```
KTa2Se4
1.0
8.388 -1.783 0.000
8.388 1.783 0.000
-1.628 0.000 6.055
K Ta Se
1 2 4
Cartesian
0.000 0.000 0.000 K
3.748 0.000 1.830 Ta
11.401 0.000 4.224 Ta
1.472 0.000 3.110 Se
4.023 0.000 5.928 Se
11.125 0.000 0.126 Se
13.676 0.000 2.944 Se
```

## Properties
Total DFT energy (no corrections) in eV/cell: -45.187
SG: No. 12
Formation energy (no corrections) in eV per atom: -0.92



(21)
DFT (PBE) results for an optimized crystal structure of VGaCo2B.

Structure (POSCAR):
```
VGaCo2B
1.0
4.350 0.000 0.000
0.000 4.350 0.000
0.000 0.000 3.741
V Ga Co B
1 1 2 1
Cartesian
0.000 0.000 0.000 V
2.175 2.175 1.870 Ga
0.000 2.175 1.870 Co
2.175 0.000 1.870 Co
2.175 2.175 0.000 B
```

## Properties
Total DFT energy (no corrections) in eV/cell: -26.636
Energy of formation from the pure elements in eV/atom: 1.28
SG: No. 123



(22)
DFT (PBE) results for an optimized crystal structure of Tb2ErAg3Te6.

Structure (POSCAR):
```
Tb2ErAg3Te6
1.0
9.932 -2.192 0.000
9.932 2.192 0.000
-1.959 0.000 8.236
Tb Er Ag Te
2 1 3 6
Cartesian
2.841 0.000 2.525 Tb
15.064 0.000 5.711 Tb
9.932 0.000 0.000 Er
2.548 0.000 6.424 Ag
8.952 0.000 4.118 Ag
15.357 0.000 1.812 Ag
-0.246 0.000 2.135 Te
5.838 0.000 3.567 Te
4.909 0.000 7.921 Te
12.995 0.000 0.315 Te
12.067 0.000 4.669 Te
18.151 0.000 6.101 Te
```

## Properties
Total DFT energy (no corrections) in eV/cell: -51.330
SG: No. 12
Formation energy (no corrections) in eV per atom: -0.84



(23)
DFT (PBE) results for an optimized crystal structure of Ag2RhSe.

Structure (POSCAR):
```
Ag2RhSe
1.0
2.685 -4.540 0.000
2.685 4.540 0.000
0.000 0.000 2.862
Ag Rh Se
2 1 1
Cartesian
1.342 2.270 0.000 Ag
1.342 -2.270 0.000 Ag
0.000 0.000 1.431 Rh
2.685 0.000 1.431 Se
```

## Properties
Total DFT energy (no corrections) in eV/cell: -15.511
SG: No. 65
Formation energy (no corrections) in eV per atom: 0.26